1.
CdTcAg4: relaxed, PBE-GGA.

Output
* total energy: -3.256 eV per atom
* DFT formation energy: 12.1 kcal/mol of atoms
* volume: 114.1 Å³/f.u.

CIF file:
```
data_CdTcAg4
_cell_length_a 7.6989
_cell_length_b 7.6989
_cell_length_c 7.6989
_cell_angle_alpha 90.00
_cell_angle_beta 90.00
_cell_angle_gamma 90.00
_space_group_name_H-M_alt 'F -4 3 m'
_space_group_IT_number 216
_space_group_name_Hall 'F -4 2 3'
loop_
_atom_site_label
_atom_site_fract_x
_atom_site_fract_y
_atom_site_fract_z
_atom_site_occupancy
Cd1 0.0000 0.0000 0.0000 1
Tc1 0.2500 0.2500 0.7500 1
Ag1 0.1248 0.1248 0.3752 1
```

2.
Bi2As2S7: relaxed, PBE-GGA.

Output
* raw formation energy: -0.038 eV/atom
* total energy: -4.215 eV per atom
* volume: 300.9 Å³/f.u.

CIF file:
```
data_Bi2As2S7
_cell_length_a 9.7298
_cell_length_b 10.5759
_cell_length_c 5.9898
_cell_angle_alpha 90.00
_cell_angle_beta 102.49
_cell_angle_gamma 90.00
_space_group_name_H-M_alt 'C 1 2/m 1'
_space_group_IT_number 12
loop_
_space_group_symop_operation_xyz
'x,y,z'
'-x,-y,-z'
'-x,y,-z'
'x,-y,z'
'x+1/2,y+1/2,z'
'-x+1/2,-y+1/2,-z'
'-x+1/2,y+1/2,-z'
'x+1/2,-y+1/2,z'
loop_
_atom_site_label
_atom_site_fract_x
_atom_site_fract_y
_atom_site_fract_z
_atom_site_occupancy
Bi1 0.0000 0.2035 0.0000 1
As1 0.2260 0.5000 0.4149 1
S1 0.0000 0.5000 0.5000 1
S2 0.0813 0.0000 0.2753 1
S3 0.2310 0.1756 0.7714 1
```

Question: The lowest volume belongs to which entry?
Answer: CdTcAg4

Repeat the first record exactly.
CdTcAg4: relaxed, PBE-GGA.

Output
* total energy: -3.256 eV per atom
* DFT formation energy: 12.1 kcal/mol of atoms
* volume: 114.1 Å³/f.u.

CIF file:
```
data_CdTcAg4
_cell_length_a 7.6989
_cell_length_b 7.6989
_cell_length_c 7.6989
_cell_angle_alpha 90.00
_cell_angle_beta 90.00
_cell_angle_gamma 90.00
_space_group_name_H-M_alt 'F -4 3 m'
_space_group_IT_number 216
_space_group_name_Hall 'F -4 2 3'
loop_
_atom_site_label
_atom_site_fract_x
_atom_site_fract_y
_atom_site_fract_z
_atom_site_occupancy
Cd1 0.0000 0.0000 0.0000 1
Tc1 0.2500 0.2500 0.7500 1
Ag1 0.1248 0.1248 0.3752 1
```

Copy entry 1 word for word.
CdTcAg4: relaxed, PBE-GGA.

Output
* total energy: -3.256 eV per atom
* DFT formation energy: 12.1 kcal/mol of atoms
* volume: 114.1 Å³/f.u.

CIF file:
```
data_CdTcAg4
_cell_length_a 7.6989
_cell_length_b 7.6989
_cell_length_c 7.6989
_cell_angle_alpha 90.00
_cell_angle_beta 90.00
_cell_angle_gamma 90.00
_space_group_name_H-M_alt 'F -4 3 m'
_space_group_IT_number 216
_space_group_name_Hall 'F -4 2 3'
loop_
_atom_site_label
_atom_site_fract_x
_atom_site_fract_y
_atom_site_fract_z
_atom_site_occupancy
Cd1 0.0000 0.0000 0.0000 1
Tc1 0.2500 0.2500 0.7500 1
Ag1 0.1248 0.1248 0.3752 1
```

Copy entry 1 word for word.
CdTcAg4: relaxed, PBE-GGA.

Output
* total energy: -3.256 eV per atom
* DFT formation energy: 12.1 kcal/mol of atoms
* volume: 114.1 Å³/f.u.

CIF file:
```
data_CdTcAg4
_cell_length_a 7.6989
_cell_length_b 7.6989
_cell_length_c 7.6989
_cell_angle_alpha 90.00
_cell_angle_beta 90.00
_cell_angle_gamma 90.00
_space_group_name_H-M_alt 'F -4 3 m'
_space_group_IT_number 216
_space_group_name_Hall 'F -4 2 3'
loop_
_atom_site_label
_atom_site_fract_x
_atom_site_fract_y
_atom_site_fract_z
_atom_site_occupancy
Cd1 0.0000 0.0000 0.0000 1
Tc1 0.2500 0.2500 0.7500 1
Ag1 0.1248 0.1248 0.3752 1
```